First-principles (PBE) data for crystalline PaMnFeP2 at its relaxed geometry, as listed in Alexandria via LeMat-Bulk.

It has space group I-4m2 (No. 119), with a = 3.895 Å, b = 3.895 Å, c = 9.308 Å, α = 90.00°, β = 90.00° and γ = 90.00°. The inequivalent atoms are Pa at (0.000, 0.000, 0.000), Mn at (0.000, 0.500, 0.250), Fe at (0.000, 0.500, 0.750) and P at (0.000, 0.000, 0.367).

The calculation puts the density of states at the Fermi level at 6.6 states/eV per cell. The calculation puts the size of the total moment at 0.00 μB per formula unit. As for the formation energy: -940 meV per atom.

First-principles (PBE) data for crystalline PrMnFeP2 at its relaxed geometry, as listed in Alexandria via LeMat-Bulk.

It has space group I-4m2 (No. 119), with a = 3.904 Å, b = 3.904 Å, c = 10.122 Å, α = 90.00°, β = 90.00° and γ = 90.00°. The inequivalent atoms are Pr at (0.000, 0.000, 0.000), Mn at (0.000, 0.500, 0.750), Fe at (0.000, 0.500, 0.250) and P at (0.000, 0.000, 0.354).

The calculation puts the density of states at the Fermi level at 7.1 states/eV per cell. The calculation puts the size of the total moment at 0.00 μB per formula unit. As for the formation energy: -923 meV per atom.

First-principles (PBE) data for crystalline ScMnFeP2 at its relaxed geometry, as listed in Alexandria via LeMat-Bulk.

It has space group I-4m2 (No. 119), with a = 3.805 Å, b = 3.805 Å, c = 9.057 Å, α = 90.00°, β = 90.00° and γ = 90.00°. The inequivalent atoms are Sc at (0.000, 0.000, 0.000), Mn at (0.000, 0.500, 0.750), Fe at (0.000, 0.500, 0.250) and P at (0.000, 0.000, 0.371).

The calculation puts the density of states at the Fermi level at 6.9 states/eV per cell. The calculation puts the size of the total moment at 0.00 μB per formula unit. As for the formation energy: -923 meV per atom.

First-principles (PBE) data for crystalline MnFeP2Se at its relaxed geometry, as listed in Alexandria via LeMat-Bulk.

It has space group P4/mmm (No. 123), with a = 4.174 Å, b = 4.174 Å, c = 4.952 Å, α = 90.00°, β = 90.00° and γ = 90.00°. The inequivalent atoms are Mn at (0.000, 0.000, 0.000), Fe at (0.000, 0.000, 0.500), P at (0.000, 0.500, 0.000) and Se at (0.500, 0.500, 0.500).

The value obtained for the raw formation energy is 47.9 kJ/mol of atoms. The calculation puts the density of states at the Fermi level at 4.9 states/eV per cell. The calculation puts the size of the total moment at 3.54 μB per formula unit.

First-principles (PBE) data for crystalline MnFeSi2P at its relaxed geometry, as listed in Alexandria via LeMat-Bulk.

It has space group P4/mmm (No. 123), with a = 4.446 Å, b = 4.446 Å, c = 4.047 Å, α = 90.00°, β = 90.00° and γ = 90.00°. The inequivalent atoms are Mn at (0.000, 0.000, 0.000), Fe at (0.500, 0.500, 0.000), Si at (0.000, 0.500, 0.500) and P at (0.500, 0.500, 0.500).

The value obtained for the raw formation energy is 110.9 kJ/mol of atoms. The calculation puts the density of states at the Fermi level at 8.3 states/eV per cell. The calculation puts the size of the total moment at 2.05 μB per formula unit.

First-principles (PBE) data for crystalline SrMnFeP2 at its relaxed geometry, as listed in Alexandria via LeMat-Bulk.

It has space group I-4m2 (No. 119), with a = 3.858 Å, b = 3.858 Å, c = 11.283 Å, α = 90.00°, β = 90.00° and γ = 90.00°. The inequivalent atoms are Sr at (0.000, 0.000, 0.000), Mn at (0.000, 0.500, 0.750), Fe at (0.000, 0.500, 0.250) and P at (0.000, 0.000, 0.347).

The calculation puts the density of states at the Fermi level at 9.8 states/eV per cell. The calculation puts the size of the total moment at 0.87 μB per formula unit. As for the formation energy: -775 meV per atom.